Compound: Rb2AuSI
Source: the Alexandria database
Functional: PBE-GGA
Structure: relaxed

Structure (POSCAR):
```
Rb2AuSI
1.0
-3.031 3.086 -4.962
-0.837 -5.761 -3.071
-4.055 -0.549 2.135
I S Au Rb
1 1 1 2
Cartesian
-3.961 -1.613 -2.949 I
0.000 0.000 0.000 S
-2.027 -0.275 1.068 Au
-0.419 -2.881 -1.536 Rb
-1.515 1.543 -2.481 Rb
```

Summary:
- energy relative to the elements, uncorrected (eV per atom) = -0.9142
- total energy (Ha/atom) = -0.1136